Entry 1:
{"formula": "KPa2O4", "functional": "PBE-GGA", "state": "optimized geometry", "lattice": [[0.000, 5.162, 5.162], [5.162, 0.000, 5.162], [5.162, 5.162, 0.000]], "species": ["K", "K", "Pa", "Pa", "Pa", "Pa", "O", "O", "O", "O", "O", "O", "O", "O"], "frac_coords": [[0.125, 0.125, 0.125], [0.875, 0.875, 0.875], [0.000, 0.500, 0.500], [0.500, 0.000, 0.500], [0.500, 0.500, 0.000], [0.500, 0.500, 0.500], [0.274, 0.274, 0.274], [0.274, 0.274, 0.679], [0.274, 0.679, 0.274], [0.321, 0.726, 0.726], [0.679, 0.274, 0.274], [0.726, 0.321, 0.726], [0.726, 0.726, 0.321], [0.726, 0.726, 0.726]], "total_magnetization_mub_per_cell": 5.890, "dft_energy_ev_per_atom": -8.037, "space_group": "No. 227"}

***

Entry 2:
{"formula": "K2Pa2O5", "functional": "PBE-GGA", "state": "optimized geometry", "lattice": [[4.409, 0.000, 0.000], [0.000, 4.409, 0.000], [0.000, 0.000, 8.779]], "species": ["K", "K", "Pa", "Pa", "O", "O", "O", "O", "O"], "frac_coords": [[0.000, 0.000, 0.000], [0.000, 0.000, 0.500], [0.500, 0.500, 0.249], [0.500, 0.500, 0.751], [0.000, 0.500, 0.208], [0.000, 0.500, 0.792], [0.500, 0.000, 0.208], [0.500, 0.000, 0.792], [0.500, 0.500, 0.500]], "total_magnetization_mub_per_cell": 2.000, "e_above_lowest_polymorph_mev_per_atom": 0, "space_group": "No. 123"}

***

Entry 3:
{"formula": "K2Pa2O5", "functional": "PBE-GGA", "state": "optimized geometry", "lattice": [[4.392, 0.000, 0.000], [0.000, 4.392, 0.000], [0.000, 0.000, 6.976]], "species": ["K", "K", "Pa", "Pa", "O", "O", "O", "O", "O"], "frac_coords": [[0.000, 0.000, 0.181], [0.000, 0.000, 0.819], [0.500, 0.500, 0.000], [0.500, 0.500, 0.500], [0.000, 0.000, 0.500], [0.000, 0.500, 0.211], [0.000, 0.500, 0.789], [0.500, 0.000, 0.211], [0.500, 0.000, 0.789]], "total_magnetization_mub_per_cell": 1.983, "e_above_lowest_polymorph_mev_per_atom": 1579, "space_group": "No. 123"}

***

Entry 4:
{"formula": "K2Pt2Pb2O7", "functional": "PBE-GGA", "state": "optimized geometry", "lattice": [[5.942, 0.000, 0.000], [-2.971, 5.146, 0.000], [0.000, 0.000, 7.363]], "species": ["K", "K", "Pt", "Pt", "Pb", "Pb", "O", "O", "O", "O", "O", "O", "O"], "frac_coords": [[0.333, 0.667, 0.095], [0.667, 0.333, 0.905], [0.000, 0.000, 0.211], [0.000, 0.000, 0.789], [0.333, 0.667, 0.585], [0.667, 0.333, 0.415], [0.000, 0.000, 0.500], [0.125, 0.365, 0.801], [0.240, 0.875, 0.801], [0.365, 0.240, 0.199], [0.635, 0.760, 0.801], [0.760, 0.125, 0.199], [0.875, 0.635, 0.199]], "total_magnetization_mub_per_cell": 0.654, "dft_energy_ev_per_atom": -4.973, "space_group": "No. 147"}

***

Entry 5:
{"formula": "K2Ta2Pb2O7", "functional": "PBE-GGA", "state": "optimized geometry", "lattice": [[5.919, 0.000, 0.000], [2.958, 5.127, 0.000], [0.001, 0.007, 7.955]], "species": ["K", "K", "Ta", "Ta", "Pb", "Pb", "O", "O", "O", "O", "O", "O", "O"], "frac_coords": [[0.167, 0.167, 0.068], [0.833, 0.833, 0.932], [0.500, 0.500, 0.260], [0.500, 0.500, 0.740], [0.167, 0.166, 0.579], [0.833, 0.834, 0.421], [0.164, 0.602, 0.192], [0.266, 0.836, 0.808], [0.397, 0.266, 0.808], [0.500, 0.500, 0.500], [0.603, 0.734, 0.192], [0.734, 0.164, 0.192], [0.836, 0.398, 0.808]], "total_magnetization_mub_per_cell": 0.018, "dft_energy_ev_per_atom": -7.215, "space_group": "No. 2"}

***

Entry 6:
{"formula": "K3PdO3", "functional": "PBE-GGA", "state": "optimized geometry", "lattice": [[-3.857, 3.857, 5.035], [3.857, -3.857, 5.035], [3.857, 3.857, -5.035]], "species": ["K", "K", "K", "K", "K", "K", "Pd", "Pd", "O", "O", "O", "O", "O", "O"], "frac_coords": [[0.000, 0.000, 0.000], [0.022, 0.522, 0.041], [0.481, 0.981, 0.959], [0.500, 0.500, 0.000], [0.522, 0.481, 0.500], [0.981, 0.022, 0.500], [0.494, 0.994, 0.500], [0.994, 0.494, 0.500], [0.159, 0.659, 0.837], [0.250, 0.250, 0.000], [0.323, 0.159, 0.500], [0.659, 0.823, 0.500], [0.750, 0.750, 0.000], [0.823, 0.323, 0.163]], "dft_energy_ev_per_atom": -4.059, "space_group": "No. 108"}

***

Entry 7:
{"formula": "K2PdO2", "functional": "PBE-GGA", "state": "optimized geometry", "lattice": [[-1.925, 1.925, 6.666], [1.925, -1.925, 6.666], [1.925, 1.925, -6.666]], "species": ["K", "K", "Pd", "O", "O"], "frac_coords": [[0.157, 0.157, 0.000], [0.843, 0.843, 0.000], [0.500, 0.500, 0.000], [0.358, 0.358, 0.000], [0.642, 0.642, 0.000]], "dft_energy_ev_per_atom": -4.284, "space_group": "No. 139"}

***

Entry 8:
{"formula": "K2Pd3O4", "functional": "PBE-GGA", "state": "optimized geometry", "lattice": [[0.000, 4.979, 10.987], [2.778, 0.000, 10.987], [2.778, 4.979, 0.000]], "species": ["K", "K", "K", "K", "Pd", "Pd", "Pd", "Pd", "Pd", "Pd", "O", "O", "O", "O", "O", "O", "O", "O"], "frac_coords": [[0.035, 0.035, 0.215], [0.215, 0.215, 0.035], [0.785, 0.785, 0.965], [0.965, 0.965, 0.785], [0.126, 0.126, 0.624], [0.375, 0.375, 0.375], [0.376, 0.376, 0.874], [0.624, 0.624, 0.126], [0.625, 0.625, 0.625], [0.874, 0.874, 0.376], [0.160, 0.475, 0.261], [0.261, 0.604, 0.160], [0.396, 0.739, 0.525], [0.475, 0.160, 0.604], [0.525, 0.840, 0.396], [0.604, 0.261, 0.475], [0.739, 0.396, 0.840], [0.840, 0.525, 0.739]], "dft_energy_ev_per_atom": -4.931, "space_group": "No. 70"}

***

Entry 9:
{"formula": "K2Pd2O5", "functional": "PBE-GGA", "state": "optimized geometry", "lattice": [[4.070, 0.000, 0.000], [0.000, 4.070, 0.000], [0.000, 0.000, 9.382]], "species": ["K", "K", "Pd", "Pd", "O", "O", "O", "O", "O"], "frac_coords": [[0.000, 0.000, 0.246], [0.000, 0.000, 0.754], [0.500, 0.500, 0.000], [0.500, 0.500, 0.500], [0.000, 0.000, 0.500], [0.000, 0.500, 0.077], [0.000, 0.500, 0.923], [0.500, 0.000, 0.077], [0.500, 0.000, 0.923]], "e_above_lowest_polymorph_mev_per_atom": 575, "space_group": "No. 123"}

***

Entry 10:
{"formula": "K2PdO2", "functional": "PBE-GGA", "state": "optimized geometry", "lattice": [[5.792, 0.000, 0.000], [0.000, 9.414, 0.000], [0.000, 0.000, 3.107]], "species": ["K", "K", "K", "K", "Pd", "Pd", "O", "O", "O", "O"], "frac_coords": [[0.028, 0.169, 0.000], [0.472, 0.669, 0.000], [0.528, 0.331, 0.000], [0.972, 0.831, 0.000], [0.000, 0.500, 0.000], [0.500, 0.000, 0.000], [0.178, 0.403, 0.500], [0.322, 0.903, 0.500], [0.678, 0.097, 0.500], [0.822, 0.597, 0.500]], "dft_energy_ev_per_atom": -4.435, "space_group": "No. 55"}

***

Entry 11:
{"formula": "K2Pd2O5", "functional": "PBE-GGA", "state": "optimized geometry", "lattice": [[3.884, 0.000, 0.000], [0.000, 3.884, 0.000], [0.000, 0.000, 8.737]], "species": ["K", "K", "Pd", "Pd", "O", "O", "O", "O", "O"], "frac_coords": [[0.000, 0.000, 0.000], [0.000, 0.000, 0.500], [0.500, 0.500, 0.231], [0.500, 0.500, 0.769], [0.000, 0.500, 0.282], [0.000, 0.500, 0.718], [0.500, 0.000, 0.282], [0.500, 0.000, 0.718], [0.500, 0.500, 0.000]], "e_above_lowest_polymorph_mev_per_atom": 0, "space_group": "No. 123"}

***

Entry 12:
{"formula": "KPd4O8", "functional": "PBE-GGA", "state": "optimized geometry", "lattice": [[3.095, 1.787, 6.011], [-3.095, 1.787, 6.011], [0.000, -3.573, 6.011]], "species": ["K", "Pd", "Pd", "Pd", "Pd", "O", "O", "O", "O", "O", "O", "O", "O"], "frac_coords": [[0.000, 0.000, 0.000], [0.000, 0.000, 0.500], [0.000, 0.500, 0.000], [0.500, 0.000, 0.000], [0.500, 0.500, 0.500], [0.222, 0.723, 0.723], [0.223, 0.223, 0.223], [0.277, 0.277, 0.778], [0.277, 0.778, 0.277], [0.723, 0.222, 0.723], [0.723, 0.723, 0.222], [0.777, 0.777, 0.777], [0.778, 0.277, 0.277]], "dft_energy_ev_per_atom": -5.265, "space_group": "No. 166"}

***

Entry 13:
{"formula": "K2PdO2", "functional": "PBE-GGA", "state": "optimized geometry", "lattice": [[1.591, -5.251, 0.000], [1.591, 5.251, 0.000], [0.000, 0.000, 9.982]], "species": ["K", "K", "K", "K", "Pd", "Pd", "O", "O", "O", "O"], "frac_coords": [[0.096, 0.904, 0.500], [0.348, 0.652, 0.685], [0.652, 0.348, 0.185], [0.904, 0.096, 0.000], [0.375, 0.625, 0.354], [0.625, 0.375, 0.854], [0.041, 0.959, 0.755], [0.204, 0.796, 0.961], [0.796, 0.204, 0.461], [0.959, 0.041, 0.255]], "dft_energy_ev_per_atom": -4.471, "space_group": "No. 36"}

***

Entry 14:
{"formula": "KPd2O4", "functional": "PBE-GGA", "state": "optimized geometry", "lattice": [[0.000, 4.618, 4.618], [4.618, 0.000, 4.618], [4.618, 4.618, 0.000]], "species": ["K", "K", "Pd", "Pd", "Pd", "Pd", "O", "O", "O", "O", "O", "O", "O", "O"], "frac_coords": [[0.125, 0.125, 0.125], [0.875, 0.875, 0.875], [0.000, 0.500, 0.500], [0.500, 0.000, 0.500], [0.500, 0.500, 0.000], [0.500, 0.500, 0.500], [0.276, 0.276, 0.276], [0.276, 0.276, 0.671], [0.276, 0.671, 0.276], [0.329, 0.724, 0.724], [0.671, 0.276, 0.276], [0.724, 0.329, 0.724], [0.724, 0.724, 0.329], [0.724, 0.724, 0.724]], "dft_energy_ev_per_atom": -5.065, "space_group": "No. 227"}

***

Entry 15:
{"formula": "K2Pd3O4", "functional": "PBE-GGA", "state": "optimized geometry", "lattice": [[0.000, 4.743, 5.516], [2.914, 0.000, 5.516], [2.914, 4.743, 0.000]], "species": ["K", "K", "Pd", "Pd", "Pd", "O", "O", "O", "O"], "frac_coords": [[0.182, 0.182, 0.818], [0.818, 0.818, 0.182], [0.000, 0.000, 0.500], [0.500, 0.500, 0.000], [0.500, 0.500, 0.500], [0.214, 0.555, 0.445], [0.445, 0.786, 0.214], [0.555, 0.214, 0.786], [0.786, 0.445, 0.555]], "dft_energy_ev_per_atom": -4.932, "space_group": "No. 69"}

***

Entry 16:
{"formula": "K4PdO4", "functional": "PBE-GGA", "state": "optimized geometry", "lattice": [[6.172, 0.000, 0.000], [2.392, 6.230, 0.000], [2.744, -0.960, 8.646]], "species": ["K", "K", "K", "K", "K", "K", "K", "K", "Pd", "Pd", "O", "O", "O", "O", "O", "O", "O", "O"], "frac_coords": [[0.046, 0.224, 0.435], [0.201, 0.249, 0.034], [0.258, 0.740, 0.148], [0.414, 0.284, 0.618], [0.586, 0.716, 0.382], [0.742, 0.260, 0.852], [0.799, 0.751, 0.966], [0.954, 0.776, 0.565], [0.393, 0.774, 0.756], [0.607, 0.226, 0.244], [0.183, 0.004, 0.673], [0.284, 0.563, 0.874], [0.306, 0.477, 0.357], [0.461, 0.017, 0.205], [0.539, 0.983, 0.795], [0.694, 0.523, 0.643], [0.716, 0.437, 0.126], [0.817, 0.996, 0.327]], "dft_energy_ev_per_atom": -4.217, "space_group": "No. 2"}

***

Entry 17:
{"formula": "KRbPd2O4", "functional": "PBE-GGA", "state": "optimized geometry", "lattice": [[5.979, 0.000, 0.000], [0.000, 2.272, 5.894], [0.000, -2.272, 5.894]], "species": ["K", "Rb", "Pd", "Pd", "O", "O", "O", "O"], "frac_coords": [[0.000, 0.000, 0.000], [0.500, 0.396, 0.396], [0.000, 0.702, 0.702], [0.500, 0.696, 0.696], [0.243, 0.588, 0.588], [0.254, 0.809, 0.809], [0.746, 0.809, 0.809], [0.757, 0.588, 0.588]], "dft_energy_ev_per_atom": -4.880, "space_group": "No. 38"}

***

Entry 18:
{"formula": "K2Rb4Pd2O5", "functional": "PBE-GGA", "state": "optimized geometry", "lattice": [[3.461, -5.937, 0.000], [3.461, 5.937, 0.000], [-0.056, 0.000, 6.857]], "species": ["K", "K", "Rb", "Rb", "Rb", "Rb", "Pd", "Pd", "O", "O", "O", "O", "O"], "frac_coords": [[0.213, 0.787, 0.000], [0.787, 0.213, 0.000], [0.238, 0.762, 0.500], [0.328, 0.328, 0.806], [0.672, 0.672, 0.194], [0.762, 0.238, 0.500], [0.206, 0.206, 0.299], [0.794, 0.794, 0.701], [0.000, 0.000, 0.500], [0.156, 0.453, 0.210], [0.453, 0.156, 0.210], [0.547, 0.844, 0.790], [0.844, 0.547, 0.790]], "dft_energy_ev_per_atom": -4.059, "space_group": "No. 12"}

***

Entry 19:
{"formula": "K2PdS8O26", "functional": "PBE-GGA", "state": "optimized geometry", "lattice": [[7.230, 0.000, 0.000], [2.692, 7.978, 0.000], [0.246, 2.618, 8.519]], "species": ["K", "K", "Pd", "S", "S", "S", "S", "S", "S", "S", "S", "O", "O", "O", "O", "O", "O", "O", "O", "O", "O", "O", "O", "O", "O", "O", "O", "O", "O", "O", "O", "O", "O", "O", "O", "O", "O"], "frac_coords": [[0.131, 0.228, 0.384], [0.869, 0.772, 0.616], [0.500, 0.000, 0.000], [0.127, 0.684, 0.012], [0.212, 0.736, 0.308], [0.331, 0.861, 0.773], [0.367, 0.356, 0.721], [0.633, 0.644, 0.279], [0.669, 0.139, 0.227], [0.788, 0.264, 0.692], [0.873, 0.316, 0.988], [0.047, 0.211, 0.086], [0.079, 0.649, 0.382], [0.150, 0.809, 0.119], [0.155, 0.512, 0.111], [0.177, 0.907, 0.655], [0.230, 0.886, 0.341], [0.232, 0.529, 0.694], [0.286, 0.992, 0.863], [0.316, 0.676, 0.917], [0.359, 0.255, 0.618], [0.402, 0.263, 0.892], [0.416, 0.590, 0.321], [0.470, 0.203, 0.262], [0.530, 0.797, 0.738], [0.584, 0.410, 0.679], [0.598, 0.737, 0.108], [0.641, 0.745, 0.382], [0.684, 0.324, 0.083], [0.714, 0.008, 0.137], [0.768, 0.471, 0.306], [0.770, 0.114, 0.659], [0.823, 0.093, 0.345], [0.845, 0.488, 0.889], [0.850, 0.191, 0.881], [0.921, 0.351, 0.618], [0.953, 0.789, 0.914]], "dft_energy_ev_per_atom": -5.792, "space_group": "No. 2"}

***

Entry 20:
{"formula": "K2Sb2Pd2O7", "functional": "PBE-GGA", "state": "optimized geometry", "lattice": [[6.061, 0.000, 0.000], [-3.031, 5.249, 0.000], [0.000, 0.000, 7.601]], "species": ["K", "K", "Sb", "Sb", "Pd", "Pd", "O", "O", "O", "O", "O", "O", "O"], "frac_coords": [[0.333, 0.667, 0.116], [0.667, 0.333, 0.884], [0.333, 0.667, 0.651], [0.667, 0.333, 0.349], [0.000, 0.000, 0.242], [0.000, 0.000, 0.758], [0.000, 0.000, 0.500], [0.187, 0.374, 0.812], [0.187, 0.813, 0.812], [0.374, 0.187, 0.188], [0.626, 0.813, 0.812], [0.813, 0.187, 0.188], [0.813, 0.626, 0.188]], "dft_energy_ev_per_atom": -5.066, "space_group": "No. 164"}